Record 1
! Zr17Os12 GGA-PBE relaxed; values from VASP
&SYSTEM
  ibrav = 0, nat = 29, ntyp = 2
/
ATOMIC_SPECIES
Zr 91.22 Zr.upf
Os 190.23 Os.upf
ATOMIC_POSITIONS crystal
Zr 0.0000 0.0000 0.0000
Zr 0.0000 0.0000 0.3520
Zr 0.0000 0.3226 0.6091
Zr 0.0000 0.3520 0.0000
Zr 0.0000 0.6091 0.3226
Zr 0.2865 0.6774 0.6774
Zr 0.3226 0.0000 0.6091
Zr 0.3226 0.6091 0.0000
Zr 0.3520 0.0000 0.0000
Zr 0.3909 0.3909 0.7135
Zr 0.3909 0.7135 0.3909
Zr 0.6091 0.0000 0.3226
Zr 0.6091 0.3226 0.0000
Zr 0.6480 0.6480 0.6480
Zr 0.6774 0.2865 0.6774
Zr 0.6774 0.6774 0.2865
Zr 0.7135 0.3909 0.3909
Os 0.0000 0.6376 0.8159
Os 0.0000 0.8159 0.6376
Os 0.1782 0.3624 0.3624
Os 0.1841 0.1841 0.8218
Os 0.1841 0.8218 0.1841
Os 0.3624 0.1782 0.3624
Os 0.3624 0.3624 0.1782
Os 0.6376 0.0000 0.8159
Os 0.6376 0.8159 0.0000
Os 0.8159 0.0000 0.6376
Os 0.8159 0.6376 0.0000
Os 0.8218 0.1841 0.1841
CELL_PARAMETERS angstrom
-5.1388 5.1388 5.1388
5.1388 -5.1388 5.1388
5.1388 5.1388 -5.1388
! **Fermi-level density of states**: 32.3 states/eV/cell
! **Calculated total energy**: -10.01 eV per atom



Record 2
! ZrOs2 GGA-PBE relaxed; values from VASP
&SYSTEM
  ibrav = 0, nat = 6, ntyp = 2
/
ATOMIC_SPECIES
Zr 91.22 Zr.upf
Os 190.23 Os.upf
ATOMIC_POSITIONS crystal
Zr 0.2056 0.7944 0.7500
Zr 0.7944 0.2056 0.2500
Os 0.0989 0.9011 0.2500
Os 0.4545 0.5455 0.2500
Os 0.5455 0.4545 0.7500
Os 0.9011 0.0989 0.7500
CELL_PARAMETERS angstrom
1.4178 -7.9051 0.0000
1.4178 7.9051 0.0000
0.0000 0.0000 4.4700
! **Fermi-level density of states**: 7.4 states/eV/cell
! **Calculated total energy**: -10.17 eV per atom



Number 1: size of the total moment 0.0 μB/cell, density 11.73 g cm⁻³. Number 2: size of the total moment 0.0 μB/cell, density 15.63 g cm⁻³.